# 1
## In2Cu2O5 (GGA-PBEsol)

Data for In2Cu2O5 after structural relaxation.

Computed properties:
DOS at the Fermi energy: 0.11 states/eV/atom
Symmetry: Pna2_1 (33)
E: -5.648 eV per atom

Cell lengths 10.566, 3.294, 12.300 Å; angles 90.00, 90.00, 90.00 degrees
Fractional positions:
In: 0.038 0.207 0.000
In: 0.212 0.210 0.330
In: 0.288 0.710 0.830
In: 0.462 0.707 0.500
In: 0.538 0.293 0.000
In: 0.712 0.290 0.330
In: 0.788 0.790 0.830
In: 0.962 0.793 0.500
Cu: 0.009 0.335 0.718
Cu: 0.241 0.155 0.612
Cu: 0.259 0.655 0.112
Cu: 0.491 0.835 0.218
Cu: 0.509 0.165 0.718
Cu: 0.741 0.345 0.612
Cu: 0.759 0.845 0.112
Cu: 0.991 0.665 0.218
O: 0.072 0.291 0.568
O: 0.078 0.722 0.358
O: 0.124 0.314 0.165
O: 0.172 0.707 0.972
O: 0.178 0.204 0.762
O: 0.322 0.704 0.262
O: 0.328 0.207 0.472
O: 0.376 0.814 0.665
O: 0.422 0.222 0.858
O: 0.428 0.791 0.068
O: 0.572 0.209 0.568
O: 0.578 0.778 0.358
O: 0.624 0.186 0.165
O: 0.672 0.793 0.972
O: 0.678 0.296 0.762
O: 0.822 0.796 0.262
O: 0.828 0.293 0.472
O: 0.876 0.686 0.665
O: 0.922 0.278 0.858
O: 0.928 0.709 0.068

---

# 2
## In2Cu2O5 (GGA-PBEsol)

Data for In2Cu2O5 after structural relaxation.

Computed properties:
DOS at the Fermi energy: 0.11 states/eV/atom
Symmetry: P2/c (13)
E: -5.648 eV per atom

Cell lengths 13.385, 3.295, 10.566 Å; angles 90.00, 113.23, 90.00 degrees
Fractional positions:
In: 0.165 0.039 0.419
In: 0.165 0.961 0.919
In: 0.335 0.455 0.254
In: 0.335 0.545 0.754
In: 0.665 0.455 0.246
In: 0.665 0.545 0.746
In: 0.835 0.039 0.081
In: 0.835 0.961 0.581
Cu: 0.053 0.414 0.642
Cu: 0.053 0.586 0.142
Cu: 0.447 0.093 0.589
Cu: 0.447 0.907 0.089
Cu: 0.553 0.093 0.911
Cu: 0.553 0.907 0.411
Cu: 0.947 0.414 0.858
Cu: 0.947 0.586 0.358
O: 0.000 0.068 0.750
O: 0.000 0.932 0.250
O: 0.097 0.455 0.995
O: 0.097 0.545 0.495
O: 0.193 0.474 0.799
O: 0.193 0.526 0.299
O: 0.307 0.044 0.606
O: 0.307 0.956 0.106
O: 0.403 0.043 0.898
O: 0.403 0.957 0.398
O: 0.500 0.440 0.750
O: 0.500 0.560 0.250
O: 0.597 0.043 0.602
O: 0.597 0.957 0.102
O: 0.693 0.044 0.894
O: 0.693 0.956 0.394
O: 0.807 0.474 0.701
O: 0.807 0.526 0.201
O: 0.903 0.455 0.505
O: 0.903 0.545 0.005

---

# 3
## In3Cu3O8 (GGA-PBEsol)

Data for In3Cu3O8 after structural relaxation.

Computed properties:
DOS at the Fermi energy: 0.28 states/eV/atom
Symmetry: P2_1/c (14)
E: -5.659 eV per atom

Cell lengths 6.104, 10.027, 5.915 Å; angles 90.00, 110.57, 90.00 degrees
Fractional positions:
In: 0.000 0.000 0.000
In: 0.000 0.500 0.500
In: 0.044 0.166 0.520
In: 0.044 0.334 0.020
In: 0.956 0.666 0.980
In: 0.956 0.834 0.480
Cu: 0.481 0.693 0.506
Cu: 0.481 0.807 0.006
Cu: 0.500 0.000 0.500
Cu: 0.500 0.500 0.000
Cu: 0.519 0.193 0.994
Cu: 0.519 0.307 0.494
O: 0.154 0.673 0.380
O: 0.154 0.827 0.880
O: 0.174 0.511 0.893
O: 0.174 0.989 0.393
O: 0.200 0.159 0.917
O: 0.200 0.341 0.417
O: 0.484 0.154 0.671
O: 0.484 0.346 0.171
O: 0.516 0.654 0.829
O: 0.516 0.846 0.329
O: 0.800 0.659 0.583
O: 0.800 0.841 0.083
O: 0.826 0.011 0.607
O: 0.826 0.489 0.107
O: 0.846 0.173 0.120
O: 0.846 0.327 0.620

---

# 4
## In2Cu3P4O16 (GGA-PBEsol)

Data for In2Cu3P4O16 after structural relaxation.

Computed properties:
DOS at the Fermi energy: 0.05 states/eV/atom
Symmetry: P2_1/c (14)
E: -6.767 eV per atom

Cell lengths 8.934, 8.824, 7.863 Å; angles 90.00, 107.60, 90.00 degrees
Fractional positions:
In: 0.245 0.000 0.247
In: 0.245 0.500 0.747
In: 0.755 0.000 0.753
In: 0.755 0.500 0.253
Cu: 0.000 0.000 0.500
Cu: 0.000 0.500 0.000
Cu: 0.406 0.128 0.890
Cu: 0.406 0.372 0.390
Cu: 0.594 0.628 0.610
Cu: 0.594 0.872 0.110
P: 0.086 0.188 0.856
P: 0.086 0.312 0.356
P: 0.401 0.662 0.159
P: 0.401 0.838 0.659
P: 0.599 0.162 0.341
P: 0.599 0.338 0.841
P: 0.914 0.688 0.644
P: 0.914 0.812 0.144
O: 0.062 0.639 0.601
O: 0.062 0.861 0.101
O: 0.084 0.134 0.342
O: 0.084 0.366 0.842
O: 0.111 0.127 0.685
O: 0.111 0.373 0.185
O: 0.238 0.134 0.008
O: 0.238 0.366 0.508
O: 0.266 0.610 0.000
O: 0.266 0.890 0.500
O: 0.405 0.584 0.335
O: 0.405 0.916 0.835
O: 0.406 0.662 0.691
O: 0.406 0.838 0.191
O: 0.436 0.147 0.382
O: 0.436 0.353 0.882
O: 0.564 0.647 0.118
O: 0.564 0.853 0.618
O: 0.594 0.162 0.809
O: 0.594 0.338 0.309
O: 0.595 0.084 0.165
O: 0.595 0.416 0.665
O: 0.734 0.110 0.500
O: 0.734 0.390 0.000
O: 0.762 0.634 0.492
O: 0.762 0.866 0.992
O: 0.889 0.627 0.815
O: 0.889 0.873 0.315
O: 0.916 0.634 0.158
O: 0.916 0.866 0.658
O: 0.938 0.139 0.899
O: 0.938 0.361 0.399